# Na2ErZnSn2 (PBE, optimized geometry)
# **Formation energy**: -0.33 eV/atom
# **Spin magnetization**: 0.00 μB per cell
data_Na2ErZnSn2
_cell_length_a 4.725
_cell_length_b 8.827
_cell_length_c 7.470
_cell_angle_alpha 90.00
_cell_angle_beta 90.00
_cell_angle_gamma 90.00
_space_group_name_H-M_alt 'P m c 21'
_space_group_IT_number 26
loop_
_space_group_symop_operation_xyz
'x,y,z'
'-x,-y,z+1/2'
'-x,y,z'
'x,-y,z+1/2'
loop_
_atom_site_label
_atom_site_type_symbol
_atom_site_fract_x
_atom_site_fract_y
_atom_site_fract_z
Na1 Na 0.000 0.077 0.000
Na2 Na 0.500 0.154 0.308
Er1 Er 0.500 0.482 0.998
Zn1 Zn 0.000 0.310 0.618
Sn1 Sn 0.000 0.388 0.255
Sn2 Sn 0.500 0.196 0.738



# NaSr2Er (PBE, optimized geometry)
# **Formation energy**: 0.15 eV/atom
# **Spin magnetization**: 0.76 μB per cell
# **Energy above the most stable polymorph in this dataset**: 0 meV/atom
data_NaSr2Er
_cell_length_a 3.897
_cell_length_b 3.897
_cell_length_c 11.235
_cell_angle_alpha 90.00
_cell_angle_beta 90.00
_cell_angle_gamma 90.00
_space_group_name_H-M_alt 'P 4/m m m'
_space_group_IT_number 123
_space_group_name_Hall '-P 4 2'
loop_
_atom_site_label
_atom_site_type_symbol
_atom_site_fract_x
_atom_site_fract_y
_atom_site_fract_z
Na1 Na 0.000 0.000 0.000
Sr1 Sr 0.500 0.500 0.259
Er1 Er 0.000 0.000 0.500



# Na2SrEr (PBE, optimized geometry)
# **Formation energy**: 0.36 eV/atom
# **Spin magnetization**: 0.01 μB per cell
data_Na2SrEr
_cell_length_a 3.6718
_cell_length_b 3.6718
_cell_length_c 41.0733
_cell_angle_alpha 90.00
_cell_angle_beta 90.00
_cell_angle_gamma 120.00
_space_group_name_H-M_alt 'R -3 m'
_space_group_IT_number 166
_space_group_name_Hall '-R 3 2"'
loop_
_atom_site_label
_atom_site_type_symbol
_atom_site_fract_x
_atom_site_fract_y
_atom_site_fract_z
Na1 Na 0.0000 0.0000 0.0841
Sr1 Sr 0.0000 0.0000 0.5000
Er1 Er 0.0000 0.0000 0.0000